1.
U2S2Br | PBE | relaxed

Output
total magnetization = 1.20 μB per atom
energy relative to the elements, uncorrected = -1.139 eV/atom
space group = Immm, No. 71
DOS at the Fermi energy = 10.19 states/eV/cell

Unit cell a=3.876 b=5.408 c=7.233 alpha=111.95 beta=105.54 gamma=90.00
Element x y z (fractional)
1 Br 0.000 0.000 0.000
2 S 0.672 0.672 0.344
3 S 0.328 0.328 0.656
4 U 0.320 0.820 0.641
5 U 0.680 0.180 0.359

---

2.
US5Br | PBE | relaxed

Output
total magnetization = 0.14 μB per atom
energy relative to the elements, uncorrected = -0.635 eV/atom
space group = P-1, No. 2
DOS at the Fermi energy = 6.98 states/eV/cell

Unit cell a=7.794 b=9.122 c=11.592 alpha=69.77 beta=73.01 gamma=130.14
Element x y z (fractional)
1 S 0.604 0.373 0.095
2 S 0.400 0.035 0.153
3 S 0.330 0.551 0.422
4 S 0.068 0.300 0.176
5 S 0.932 0.700 0.824
6 S 0.670 0.449 0.578
7 S 0.348 0.590 0.583
8 S 0.396 0.627 0.905
9 S 0.600 0.965 0.847
10 S 0.652 0.410 0.417
11 Br 0.000 0.000 0.500
12 Br 0.000 0.000 0.000
13 U 0.921 0.892 0.299
14 U 0.079 0.108 0.701

---

3.
US2Br5 | PBE | relaxed

Output
total magnetization = 0.38 μB per atom
energy relative to the elements, uncorrected = -0.760 eV/atom
space group = P1, No. 1
DOS at the Fermi energy = 4.92 states/eV/cell

Unit cell a=5.684 b=8.616 c=8.643 alpha=73.16 beta=70.78 gamma=70.99
Element x y z (fractional)
1 Br 0.114 0.032 0.670
2 Br 0.465 0.000 0.000
3 Br 0.820 0.331 0.963
4 Br 0.815 0.968 0.330
5 Br 0.111 0.669 0.037
6 U 0.965 0.000 0.000
7 S 0.646 0.453 0.464
8 S 0.287 0.547 0.536

---

4.
US2Br | PBE | relaxed

Output
total magnetization = 0.25 μB per atom
distance to the lowest polymorph of the same formula = 0.028 eV per atom
energy relative to the elements, uncorrected = -1.059 eV/atom
space group = Cm, No. 8
DOS at the Fermi energy = 2.26 states/eV/cell

Unit cell a=5.289 b=5.289 c=7.763 alpha=87.63 beta=87.63 gamma=40.24
Element x y z (fractional)
1 U 0.150 0.150 0.425
2 Br 0.560 0.560 0.696
3 S 0.842 0.842 0.436
4 S 0.575 0.575 0.216

---

5.
US2Br | PBE | relaxed

Output
total magnetization = 0.25 μB per atom
distance to the lowest polymorph of the same formula = 0.210 eV per atom
energy relative to the elements, uncorrected = -0.876 eV/atom
space group = R-3m, No. 166
DOS at the Fermi energy = 5.91 states/eV/cell

Unit cell a=4.262 b=4.262 c=6.960 alpha=72.17 beta=72.17 gamma=60.00
Element x y z (fractional)
1 S 0.720 0.720 0.841
2 S 0.280 0.280 0.159
3 U 0.000 0.000 0.000
4 Br 0.500 0.500 0.500

---

6.
US2Br | PBE | relaxed

Output
total magnetization = 0.25 μB per atom
distance to the lowest polymorph of the same formula = 0.000 eV per atom
energy relative to the elements, uncorrected = -1.086 eV/atom
space group = R3m, No. 160
DOS at the Fermi energy = 5.59 states/eV/cell

Unit cell a=4.317 b=4.317 c=7.755 alpha=73.84 beta=73.84 gamma=60.00
Element x y z (fractional)
1 Br 0.526 0.526 0.423
2 U 0.651 0.651 0.048
3 S 0.040 0.040 0.880
4 S 0.284 0.284 0.149

---

7.
USBr | PBE | relaxed

Output
total magnetization = 0.91 μB per atom
energy relative to the elements, uncorrected = -1.309 eV/atom
space group = Pnma, No. 62
DOS at the Fermi energy = 18.96 states/eV/cell

Unit cell a=3.633 b=12.521 c=6.990 alpha=90.00 beta=90.00 gamma=90.00
Element x y z (fractional)
1 Br 0.762 0.981 0.774
2 Br 0.762 0.519 0.274
3 Br 0.262 0.481 0.726
4 Br 0.262 0.019 0.226
5 S 0.762 0.242 0.592
6 S 0.762 0.258 0.092
7 S 0.262 0.742 0.908
8 S 0.262 0.758 0.408
9 U 0.762 0.666 0.645
10 U 0.262 0.166 0.855
11 U 0.762 0.834 0.145
12 U 0.262 0.334 0.355

---

8.
U2SBr8 | PBE | relaxed

Output
total magnetization = 0.18 μB per atom
energy relative to the elements, uncorrected = -1.157 eV/atom
space group = C2/m, No. 12
DOS at the Fermi energy = 5.14 states/eV/cell

Unit cell a=5.682 b=10.664 c=10.664 alpha=66.19 beta=74.49 gamma=74.49
Element x y z (fractional)
1 U 0.150 0.850 0.850
2 U 0.850 0.150 0.150
3 Br 0.854 0.374 0.920
4 Br 0.308 0.693 0.693
5 Br 0.692 0.307 0.307
6 Br 0.854 0.920 0.374
7 Br 0.352 0.148 0.148
8 Br 0.146 0.080 0.626
9 Br 0.146 0.626 0.080
10 Br 0.648 0.852 0.852
11 S 0.000 0.000 0.000

---

9.
VS3Br | PBE | relaxed

Output
total magnetization = 0.54 μB per atom
distance to the lowest polymorph of the same formula = 1.625 eV per atom
energy relative to the elements, uncorrected = 1.168 eV/atom
space group = Pm-3m, No. 221
DOS at the Fermi energy = 6.17 states/eV/cell

Unit cell a=4.804 b=4.804 c=4.804 alpha=90.00 beta=90.00 gamma=90.00
Element x y z (fractional)
1 S 0.000 0.500 0.000
2 S 0.500 0.000 0.000
3 S 0.000 0.000 0.500
4 V 0.500 0.500 0.500
5 Br 0.000 0.000 0.000

---

10.
VSBr | PBE | relaxed

Output
total magnetization = 0.67 μB per atom
energy relative to the elements, uncorrected = -0.900 eV/atom
space group = P2_1/m, No. 11
DOS at the Fermi energy = 0.54 states/eV/cell

Unit cell a=3.567 b=6.744 c=6.106 alpha=99.77 beta=90.00 gamma=90.00
Element x y z (fractional)
1 V 0.250 0.505 0.300
2 V 0.750 0.495 0.700
3 S 0.750 0.716 0.454
4 S 0.250 0.284 0.546
5 Br 0.250 0.715 0.959
6 Br 0.750 0.285 0.041

---

11.
VSBr2 | PBE | relaxed

Output
total magnetization = 0.25 μB per atom
distance to the lowest polymorph of the same formula = 0.356 eV per atom
energy relative to the elements, uncorrected = 0.470 eV/atom
space group = Fm-3m, No. 225
DOS at the Fermi energy = 3.85 states/eV/cell

Unit cell a=4.856 b=4.856 c=4.856 alpha=60.00 beta=60.00 gamma=60.00
Element x y z (fractional)
1 S 0.000 0.000 0.000
2 Br 0.250 0.250 0.250
3 Br 0.750 0.750 0.750
4 V 0.500 0.500 0.500

---

12.
VS3Br | PBE | relaxed

Output
total magnetization = 0.09 μB per atom
distance to the lowest polymorph of the same formula = 0.000 eV per atom
energy relative to the elements, uncorrected = -0.457 eV/atom
space group = P-1, No. 2
DOS at the Fermi energy = 5.27 states/eV/cell

Unit cell a=3.431 b=6.705 c=14.171 alpha=57.99 beta=115.11 gamma=89.60
Element x y z (fractional)
1 S 0.235 0.328 0.045
2 S 0.162 0.832 0.450
3 S 0.765 0.672 0.955
4 S 0.838 0.168 0.550
5 S 0.811 0.906 0.799
6 S 0.189 0.094 0.201
7 V 0.535 0.122 0.386
8 V 0.465 0.878 0.614
9 Br 0.820 0.475 0.265
10 Br 0.180 0.525 0.735